# TaTiRu2

TaTiRu2 after structural relaxation (PBE-GGA, Alexandria via LeMat-Bulk).

It has space group Fm-3m (No. 225), with a = 6.262 Å, b = 6.262 Å, c = 6.262 Å, α = 90.00°, β = 90.00° and γ = 90.00°. The inequivalent atoms are Ta at (0.000, 0.000, 0.000), Ti at (0.000, 0.000, 0.500) and Ru at (0.250, 0.250, 0.250).

The crystal system is cubic. As for the energy: -10.127 eV/atom. As for the size of the total moment: 0.00 μB per cell. Its formation energy is -2.2 eV per formula unit. The value obtained for the density of states at the Fermi level is 10.9 states/eV per cell. The value obtained for the calculated volume is 245.6 Å³/cell. The relative energy among the computed polymorphs is 0 meV/atom.